(1)
Here is a relaxed structure of HfAl2Tc from the Alexandria database. Energies are from GGA-PBE.

Cell: 4.507 4.507 4.507 Å, 60.00 60.00 60.00°
Fractional coordinates of all 4 atoms:
Hf (0.000, 0.000, 0.000)
Al (0.250, 0.250, 0.250)
Al (0.750, 0.750, 0.750)
Tc (0.500, 0.500, 0.500)

Results
- Uncorrected energy: -0.530 Ry per atom
- Formation energy from the elements: -6.08 kcal/mol of atoms
- Volume: 16.18 A^3/atom

(2)
Here is a relaxed structure of Hf5AlTc6 from the Alexandria database. Energies are from GGA-PBE.

Cell: 7.910 7.910 7.910 Å, 146.48 131.47 60.28°
Fractional coordinates of all 12 atoms:
Hf (0.000, 0.000, 0.000)
Hf (0.169, 0.669, 0.500)
Hf (0.340, 0.340, 0.000)
Hf (0.660, 0.660, 0.000)
Hf (0.831, 0.331, 0.500)
Al (0.500, 0.000, 0.500)
Tc (0.086, 0.835, 0.251)
Tc (0.248, 0.500, 0.748)
Tc (0.416, 0.165, 0.251)
Tc (0.584, 0.835, 0.749)
Tc (0.752, 0.500, 0.252)
Tc (0.914, 0.165, 0.749)

Results
- Uncorrected energy: -0.740 Ry per atom
- Formation energy from the elements: -9.84 kcal/mol of atoms
- Volume: 16.91 A^3/atom

(3)
Here is a relaxed structure of Hf5AlTc4 from the Alexandria database. Energies are from GGA-PBE.

Cell: 3.303 3.303 16.238 Å, 90.00 90.00 90.00°
Fractional coordinates of all 10 atoms:
Hf (0.000, 0.000, 0.000)
Hf (0.000, 0.000, 0.199)
Hf (0.000, 0.000, 0.393)
Hf (0.000, 0.000, 0.607)
Hf (0.000, 0.000, 0.801)
Al (0.500, 0.500, 0.500)
Tc (0.500, 0.500, 0.100)
Tc (0.500, 0.500, 0.303)
Tc (0.500, 0.500, 0.697)
Tc (0.500, 0.500, 0.900)

Results
- Uncorrected energy: -0.735 Ry per atom
- Formation energy from the elements: -11.46 kcal/mol of atoms
- Volume: 17.71 A^3/atom

(4)
Here is a relaxed structure of HfAl2Tc from the Alexandria database. Energies are from GGA-PBE.

Cell: 3.915 3.915 4.288 Å, 90.00 90.00 90.00°
Fractional coordinates of all 4 atoms:
Hf (0.000, 0.000, 0.000)
Al (0.000, 0.500, 0.500)
Al (0.500, 0.000, 0.500)
Tc (0.500, 0.500, 0.000)

Results
- Uncorrected energy: -0.538 Ry per atom
- Formation energy from the elements: -8.39 kcal/mol of atoms
- Volume: 16.43 A^3/atom

(5)
Here is a relaxed structure of Hf4AlTc from the Alexandria database. Energies are from GGA-PBE.

Cell: 3.263 3.263 11.050 Å, 90.00 90.00 90.00°
Fractional coordinates of all 6 atoms:
Hf (0.000, 0.000, 0.144)
Hf (0.000, 0.000, 0.856)
Hf (0.500, 0.500, 0.332)
Hf (0.500, 0.500, 0.668)
Al (0.000, 0.000, 0.500)
Tc (0.500, 0.500, 0.000)

Results
- Uncorrected energy: -0.682 Ry per atom
- Formation energy from the elements: -6.63 kcal/mol of atoms
- Volume: 19.61 A^3/atom

(6)
Here is a relaxed structure of HfAl3Tc from the Alexandria database. Energies are from GGA-PBE.

Cell: 6.426 6.426 5.032 Å, 90.00 90.00 109.62°
Fractional coordinates of all 10 atoms:
Hf (0.067, 0.933, 0.750)
Hf (0.933, 0.067, 0.250)
Al (0.068, 0.598, 0.250)
Al (0.402, 0.932, 0.250)
Al (0.500, 0.500, 0.000)
Al (0.500, 0.500, 0.500)
Al (0.598, 0.068, 0.750)
Al (0.932, 0.402, 0.750)
Tc (0.302, 0.698, 0.750)
Tc (0.698, 0.302, 0.250)

Results
- Uncorrected energy: -0.448 Ry per atom
- Formation energy from the elements: 5.08 kcal/mol of atoms
- Volume: 19.57 A^3/atom

(7)
Here is a relaxed structure of Hf4Al3Tc from the Alexandria database. Energies are from GGA-PBE.

Cell: 3.275 3.275 13.890 Å, 90.00 90.00 90.00°
Fractional coordinates of all 8 atoms:
Hf (0.000, 0.000, 0.111)
Hf (0.000, 0.000, 0.366)
Hf (0.000, 0.000, 0.634)
Hf (0.000, 0.000, 0.889)
Al (0.500, 0.500, 0.238)
Al (0.500, 0.500, 0.500)
Al (0.500, 0.500, 0.762)
Tc (0.500, 0.500, 0.000)

Results
- Uncorrected energy: -0.590 Ry per atom
- Formation energy from the elements: -8.19 kcal/mol of atoms
- Volume: 18.63 A^3/atom

(8)
Here is a relaxed structure of Hf3AlTc from the Alexandria database. Energies are from GGA-PBE.

Cell: 4.846 4.846 4.846 Å, 90.00 90.00 90.00°
Fractional coordinates of all 5 atoms:
Hf (0.000, 0.000, 0.500)
Hf (0.000, 0.500, 0.000)
Hf (0.500, 0.000, 0.000)
Al (0.000, 0.000, 0.000)
Tc (0.500, 0.500, 0.500)

Results
- Uncorrected energy: -0.560 Ry per atom
- Formation energy from the elements: 27.15 kcal/mol of atoms
- Volume: 22.76 A^3/atom

(9)
Here is a relaxed structure of HfAl3Tc from the Alexandria database. Energies are from GGA-PBE.

Cell: 4.954 4.954 4.954 Å, 90.00 90.00 90.00°
Fractional coordinates of all 5 atoms:
Hf (0.000, 0.000, 0.000)
Al (0.000, 0.000, 0.500)
Al (0.000, 0.500, 0.000)
Al (0.500, 0.000, 0.000)
Tc (0.500, 0.500, 0.500)

Results
- Uncorrected energy: -0.333 Ry per atom
- Formation energy from the elements: 40.90 kcal/mol of atoms
- Volume: 24.32 A^3/atom

(10)
Here is a relaxed structure of Hf2Al3Tc from the Alexandria database. Energies are from GGA-PBE.

Cell: 6.474 6.474 5.311 Å, 90.00 90.00 101.33°
Fractional coordinates of all 12 atoms:
Hf (0.053, 0.598, 0.750)
Hf (0.402, 0.947, 0.750)
Hf (0.598, 0.053, 0.250)
Hf (0.947, 0.402, 0.250)
Al (0.062, 0.938, 0.250)
Al (0.333, 0.333, 0.000)
Al (0.333, 0.333, 0.500)
Al (0.667, 0.667, 0.000)
Al (0.667, 0.667, 0.500)
Al (0.938, 0.062, 0.750)
Tc (0.316, 0.684, 0.250)
Tc (0.684, 0.316, 0.750)

Results
- Uncorrected energy: -0.524 Ry per atom
- Formation energy from the elements: -4.91 kcal/mol of atoms
- Volume: 18.19 A^3/atom

(11)
Here is a relaxed structure of Hf3AlTc2 from the Alexandria database. Energies are from GGA-PBE.

Cell: 3.329 3.329 9.703 Å, 90.00 90.00 90.00°
Fractional coordinates of all 6 atoms:
Hf (0.000, 0.000, 0.000)
Hf (0.000, 0.000, 0.323)
Hf (0.000, 0.000, 0.677)
Al (0.500, 0.500, 0.500)
Tc (0.500, 0.500, 0.172)
Tc (0.500, 0.500, 0.828)

Results
- Uncorrected energy: -0.704 Ry per atom
- Formation energy from the elements: -12.02 kcal/mol of atoms
- Volume: 17.92 A^3/atom

(12)
Here is a relaxed structure of Hf3Al7Tc2 from the Alexandria database. Energies are from GGA-PBE.

Cell: 9.064 9.064 9.064 Å, 33.76 33.76 33.76°
Fractional coordinates of all 12 atoms:
Hf (0.000, 0.000, 0.000)
Hf (0.151, 0.151, 0.151)
Hf (0.849, 0.849, 0.849)
Al (0.073, 0.585, 0.585)
Al (0.415, 0.415, 0.927)
Al (0.415, 0.927, 0.415)
Al (0.500, 0.500, 0.500)
Al (0.585, 0.073, 0.585)
Al (0.585, 0.585, 0.073)
Al (0.927, 0.415, 0.415)
Tc (0.336, 0.336, 0.336)
Tc (0.664, 0.664, 0.664)

Results
- Uncorrected energy: -0.496 Ry per atom
- Formation energy from the elements: -8.03 kcal/mol of atoms
- Volume: 17.07 A^3/atom